[1]
VASP calculation (PBE) on a relaxed Tb6Pm8Sc crystal.

a = 5.8697 Å, b = 9.9350 Å, c = 9.9350 Å
α = 120.00°, β = 90.00°, γ = 90.00°
Positions (direct):
1 Pm 0.2317 0.6667 0.3333
2 Pm 0.2345 0.7791 0.0517
3 Tb 0.7451 0.6207 0.0914
4 Pm 0.7655 0.0517 0.2726
5 Pm 0.7683 0.3333 0.6667
6 Tb 0.2549 0.3793 0.9086
7 Tb 0.7451 0.9086 0.5293
8 Pm 0.2345 0.2726 0.2209
9 Tb 0.7451 0.4707 0.3793
10 Pm 0.7655 0.2209 0.9483
11 Tb 0.2549 0.5293 0.6207
12 Sc 0.5000 0.0000 0.0000
13 Pm 0.2345 0.9483 0.7274
14 Pm 0.7655 0.7274 0.7791
15 Tb 0.2549 0.0914 0.4707

Computed properties:
Formation energy from the elements: 219.3 kJ/mol of formula units

[2]
VASP calculation (PBE) on a relaxed TbPm6Sc2 crystal.

a = 5.6187 Å, b = 11.8491 Å, c = 11.8491 Å
α = 48.32°, β = 103.74°, γ = 103.74°
Positions (direct):
1 Sc 0.0005 0.3334 0.1667
2 Pm 0.6623 0.3297 0.4962
3 Pm 0.1623 0.4962 0.3297
4 Pm 0.3377 0.6703 0.5038
5 Pm 0.9216 0.9218 0.4213
6 Sc 0.5005 0.1667 0.3334
7 Pm 0.4216 0.4213 0.9218
8 Sc 0.4995 0.8333 0.6666
9 Pm 0.1631 0.8297 0.9964
10 Tb 0.2500 0.2501 0.7499
11 Pm 0.8369 0.1703 0.0036
12 Pm 0.0784 0.0782 0.5787
13 Pm 0.3369 0.0036 0.1703
14 Pm 0.8377 0.5038 0.6703
15 Tb 0.7500 0.7499 0.2501
16 Pm 0.6631 0.9964 0.8297
17 Sc 0.9995 0.6666 0.8333
18 Pm 0.5784 0.5787 0.0782

Computed properties:
Formation energy from the elements: 62.0 kJ/mol of formula units

DOS(E_F): 1.663 1.586 (states/eV/atom)
Energy above the lowest structure with this stoichiometry: 0.000 0.000 (eV/atom)